No. 1
A relaxed Sm8Al2Hg crystal, computed with PBE-GGA.

Properties
polymorph energy (0 for the lowest one): 31.2 meV/atom
total moment: 0.00 μB/cell

abc: 5.1000 8.5547 14.7789
angles: 90.00 90.00 90.00
Closest atoms and distances in Å follow each position.
Space group Immm (No. 71)
One atom of each set of equivalent atoms:
Sm 0.0000 0.0000 0.1413  2 Hg 3.30, 8 Sm 3.43-3.52, 2 Al 3.53
Sm 0.0000 0.2185 0.3392  3 Al 3.20-3.23, 1 Hg 3.38, 5 Sm 3.47-3.52
Sm 0.0000 0.3178 0.0000  3 Sm 3.12-3.43, 2 Al 3.26
Al 0.0000 0.5000 0.1934  10 Sm 3.20-3.53
Hg 0.0000 0.5000 0.5000  8 Sm 3.30-3.38

No. 2
A relaxed Sm2AlHg3 crystal, computed with PBE-GGA.

Properties
total moment: 0.01 μB/cell

abc: 7.2954 9.6584 16.7772
angles: 90.00 90.00 90.00
Closest atoms and distances in Å follow each position.
Space group Fmmm (No. 69)
One atom of each set of equivalent atoms:
Sm 0.2412 0.0000 0.0000  10 Hg 3.32-3.39, 2 Al 3.37, 1 Sm 3.52
Sm 0.2500 0.2500 0.2500  8 Hg 3.30-3.31, 4 Al 3.33, 2 Sm 3.65
Al 0.0000 0.0000 0.3333  3 Hg 2.69-2.71
Hg 0.0000 0.0000 0.1717  1 Al 2.71, 2 Hg 2.90
Hg 0.0000 0.2401 0.4143  1 Al 2.69, 2 Hg 2.88-2.90

No. 3
A relaxed Sm3AlHg5 crystal, computed with PBE-GGA.

Properties
total moment: 0.00 μB/cell

abc: 9.0261 9.0261 6.4064
angles: 90.00 90.00 120.00
Closest atoms and distances in Å follow each position.
Space group P6_3/mcm (No. 193)
One atom of each set of equivalent atoms:
Sm 0.0000 0.3315 0.2500  5 Hg 2.99-3.20
Al 0.0000 0.0000 0.0000  2 Al 3.20, 6 Hg 3.39, 6 Sm 3.39
Hg 0.0000 0.3310 0.7500  5 Sm 2.99-3.20
Hg 0.3333 0.6667 0.0000  8 Hg 3.20-3.42, 6 Sm 3.42

No. 4
A relaxed Sm3Al4Hg2 crystal, computed with PBE-GGA.

Properties
total moment: 0.00 μB/cell

abc: 11.0267 4.6474 8.8540
angles: 90.00 112.57 90.00
Closest atoms and distances in Å follow each position.
Space group C2/m (No. 12)
One atom of each set of equivalent atoms:
Sm 0.0000 0.0000 0.0000  8 Al 3.18-3.36, 4 Hg 3.27
Sm 0.1664 0.5000 0.6674  8 Al 3.19-3.38, 4 Hg 3.26-3.29
Al 0.0436 0.0000 0.3806  1 Al 2.64, 2 Hg 2.71
Al 0.2352 0.5000 0.0642  2 Al 2.66, 1 Hg 2.72
Hg 0.1130 0.5000 0.2788  3 Al 2.71-2.72

No. 5
A relaxed SmAlHg crystal, computed with PBE-GGA.

Properties
total moment: 0.00 μB/cell

abc: 10.9466 4.6671 7.4723
angles: 90.00 131.79 90.00
Closest atoms and distances in Å follow each position.
Space group C2/m (No. 12)
One atom of each set of equivalent atoms:
Sm 0.0356 0.0000 0.2905  6 Hg 3.21-3.44, 6 Al 3.25-3.42
Al 0.1565 0.5000 0.1160  1 Al 2.61, 2 Hg 2.71
Hg 0.1745 0.5000 0.7281  3 Al 2.71-3.03, 1 Hg 2.98

No. 6
A relaxed SmAlHg crystal, computed with PBE-GGA.

Properties
total moment: 0.00 μB/cell

abc: 6.8175 6.8175 6.8175
angles: 90.00 90.00 90.00
Closest atoms and distances in Å follow each position.
Space group F-43m (No. 216)
One atom of each set of equivalent atoms:
Sm 0.0000 0.0000 0.0000  4 Hg 2.95
Al 0.0000 0.0000 0.5000  4 Hg 2.95
Hg 0.2500 0.2500 0.2500  4 Al 2.95, 4 Sm 2.95

No. 7
A relaxed SmAlHg crystal, computed with PBE-GGA.

Properties
total moment: 0.00 μB/cell

abc: 3.2492 3.2492 16.0257
angles: 90.00 90.00 90.00
Closest atoms and distances in Å follow each position.
Space group I4mm (No. 107)
One atom of each set of equivalent atoms:
Sm 0.0000 0.0000 0.0000  4 Al 3.09, 1 Hg 3.20, 4 Sm 3.25
Al 0.0000 0.0000 0.6290  1 Hg 2.74
Hg 0.0000 0.0000 0.8002  1 Al 2.74

No. 8
A relaxed SmAl4Hg crystal, computed with PBE-GGA.

Properties
total moment: 0.00 μB/cell

abc: 7.9244 7.9244 7.9244
angles: 90.00 90.00 90.00
Closest atoms and distances in Å follow each position.
Space group F-43m (No. 216)
One atom of each set of equivalent atoms:
Sm 0.0000 0.0000 0.0000  12 Al 3.28, 4 Hg 3.43
Al 0.1259 0.1259 0.6259  6 Al 2.78-2.82
Hg 0.2500 0.2500 0.2500  12 Al 3.29, 4 Sm 3.43

No. 9
A relaxed Sm2AlHg crystal, computed with PBE-GGA.

Properties
polymorph energy (0 for the lowest one): 38.3 meV/atom
total moment: 0.00 μB/cell

abc: 7.5236 7.5236 7.5236
angles: 90.00 90.00 90.00
Closest atoms and distances in Å follow each position.
Space group Fm-3m (No. 225)
One atom of each set of equivalent atoms:
Sm 0.2500 0.2500 0.2500  4 Hg 3.26, 4 Al 3.26
Al 0.0000 0.0000 0.0000  8 Sm 3.26
Hg 0.0000 0.0000 0.5000  8 Sm 3.26

No. 10
A relaxed Sm5Al2Hg crystal, computed with PBE-GGA.

Properties
total moment: 0.00 μB/cell

abc: 7.7815 7.7815 15.2629
angles: 90.00 90.00 90.00
Closest atoms and distances in Å follow each position.
Space group I4/mcm (No. 140)
One atom of each set of equivalent atoms:
Sm 0.0000 0.0000 0.0000  4 Al 3.11
Sm 0.1717 0.3283 0.1471  3 Al 3.21-3.22, 2 Hg 3.28, 1 Sm 3.58
Al 0.1189 0.3811 0.5000  1 Al 2.62
Hg 0.0000 0.0000 0.2500  8 Sm 3.28

No. 11
A relaxed Sm5Al2Hg2 crystal, computed with PBE-GGA.

Properties
total moment: 0.00 μB/cell

abc: 16.5775 7.9428 7.8090
angles: 90.00 90.00 90.00
Closest atoms and distances in Å follow each position.
Space group Cmce (No. 64)
One atom of each set of equivalent atoms:
Sm 0.0000 0.0000 0.0000  4 Al 3.13-3.17
Sm 0.1352 0.1852 0.3250  3 Hg 3.14-3.22, 3 Al 3.18-3.32
Al 0.0000 0.1173 0.6170  1 Al 2.61
Hg 0.2148 0.0000 0.0000  6 Sm 3.14-3.22

No. 12
A relaxed Sm6Al2Hg crystal, computed with PBE-GGA.

Properties
polymorph energy (0 for the lowest one): 0.0 meV/atom
total moment: 0.00 μB/cell

abc: 9.9312 10.0815 10.6312
angles: 90.00 90.00 90.00
Closest atoms and distances in Å follow each position.
Space group Immm (No. 71)
One atom of each set of equivalent atoms:
Sm 0.0000 0.2129 0.1757  3 Al 3.03-3.16
Sm 0.1791 0.2289 0.5000  3 Al 3.19-3.28, 1 Hg 3.26, 1 Sm 3.56
Sm 0.1999 0.5000 0.2510  2 Al 3.10-3.28, 2 Hg 3.31-3.33
Al 0.0000 0.0000 0.3771  1 Al 2.61
Al 0.1379 0.0000 0.0000  1 Al 2.74
Hg 0.0000 0.5000 0.0000  8 Sm 3.33-3.45
Hg 0.0000 0.5000 0.5000  8 Sm 3.26-3.31, 2 Al 3.60

Computed values of E (unit: eV for the cell shown) for the preceding records, in sequence: -94.4; -133.3; -46.2; -67.9; -40.6; -39.1; -17.0; -83.5; -60.2; -135.1; -139.7; -153.4.
Computed values of E_form (unit: meV/atom) for the preceding records, in sequence: -149.9; -429.1; -408.0; -468.8; -461.3; -335.9; 84.2; -147.9; -389.3; -298.7; -359.0; -249.7.